1.
Compound: LiZr2TaTi
Source: Alexandria via LeMat-Bulk
Functional: PBE
Structure: relaxed

Structure (POSCAR):
```
LiZr2TaTi
1.0
4.829 0.000 0.000
0.000 4.829 0.000
0.000 0.000 4.502
Li Zr Ta Ti
1 2 1 1
Cartesian
0.000 0.000 0.000
0.000 2.415 2.251
2.415 0.000 2.251
2.415 2.415 0.000
0.000 0.000 2.251
```

Values from the calculation:
SG = P4/mmm, No. 123
formation enthalpy at 0 K = 1114.2 meV per atom

=====

2.
Compound: La2TlSn3Rh4
Source: Alexandria via LeMat-Bulk
Functional: PBE
Structure: relaxed

Structure (POSCAR):
```
La2TlSn3Rh4
1.0
4.527 0.000 0.000
0.000 4.527 0.000
0.000 0.000 10.945
La Tl Sn Rh
2 1 3 4
Cartesian
0.000 2.263 2.709
2.263 0.000 8.236
0.000 0.000 5.473
0.000 2.263 9.566
2.263 0.000 1.379
2.263 2.263 5.473
0.000 0.000 0.000
0.000 2.263 6.988
2.263 0.000 3.957
2.263 2.263 0.000
```

Values from the calculation:
SG = P-4m2, No. 115
formation enthalpy at 0 K = -640.0 meV per atom

=====

3.
Compound: ScAl11Re
Source: Alexandria via LeMat-Bulk
Functional: PBE
Structure: relaxed

Structure (POSCAR):
```
ScAl11Re
1.0
2.622 -6.362 0.000
2.622 6.362 0.000
-2.549 0.000 6.513
Sc Al Re
1 11 1
Cartesian
0.000 0.000 0.000
-1.274 0.000 3.257
1.311 3.181 0.000
0.084 2.194 2.323
0.077 1.349 5.109
0.084 -2.194 2.323
2.619 1.349 1.404
1.311 -3.181 0.000
0.077 -1.349 5.109
2.612 2.194 4.190
2.619 -1.349 1.404
2.612 -2.194 4.190
1.348 0.000 3.257
```

Values from the calculation:
SG = C2/m, No. 12
formation enthalpy at 0 K = -145.0 meV per atom

=====

4.
Compound: La3SmIn
Source: Alexandria via LeMat-Bulk
Functional: PBE
Structure: relaxed

Structure (POSCAR):
```
La3SmIn
1.0
2.952 -7.844 0.000
2.952 7.844 0.000
0.000 0.000 7.705
La Sm In
6 2 2
Cartesian
2.952 6.122 5.779
2.952 2.828 3.866
2.952 2.828 7.691
2.952 -2.828 0.014
2.952 -2.828 3.839
2.952 -6.122 1.926
2.952 5.953 1.926
2.952 -5.953 5.779
2.952 0.044 5.779
2.952 -0.044 1.926
```

Values from the calculation:
energy relative to the lowest polymorph listed for this composition = 0.60 eV/f.u.
SG = Cmcm, No. 63
formation enthalpy at 0 K = -87.0 meV per atom

=====

5.
Compound: Ac6Cd5Sb
Source: Alexandria via LeMat-Bulk
Functional: PBE
Structure: relaxed

Structure (POSCAR):
```
Ac6Cd5Sb
1.0
4.975 -8.680 0.000
4.975 8.680 0.000
-3.357 0.000 4.711
Ac Cd Sb
6 5 1
Cartesian
-0.052 2.858 3.516
1.613 0.000 1.151
-0.052 -2.858 3.516
6.644 2.858 1.194
4.979 0.000 3.560
6.644 -2.858 1.194
4.975 5.631 0.000
3.296 2.885 2.355
4.975 0.000 0.000
3.296 -2.885 2.355
4.975 -5.631 0.000
-1.679 0.000 2.355
```

Values from the calculation:
DFT total energy = -3.18 eV/atom
SG = C2/m, No. 12

=====

Number 1: total magnetic moment 0.00 μB/atom. Number 2: total magnetic moment 0.00 μB/atom. Number 3: total magnetic moment 0.00 μB/atom. Number 4: total magnetic moment 0.00 μB/atom. Number 5: total magnetic moment 0.00 μB/atom.